Entry 1:
Computed, not measured: a relaxed Cs2LiHoBr6 crystal at the PBE level of DFT.

The structure in extended XYZ format:
```
20
Lattice="3.9631 2.2881 13.1840 -3.9631 2.2881 13.1840 0.0000 -4.5762 13.1840" Properties=species:S:1:pos:R:3 pbc="T T T"
Cs 0.0000 0.0000 4.9617
Cs 0.0000 0.0000 11.4930
Cs 0.0000 0.0000 28.0588
Cs 0.0000 0.0000 34.5902
Li 0.0000 0.0000 0.0000
Li 0.0000 0.0000 19.7759
Ho 0.0000 0.0000 16.3635
Ho 0.0000 0.0000 23.1884
Br -1.9083 -1.1018 18.0792
Br 0.0000 -2.3004 14.7954
Br -1.9922 1.1502 14.7954
Br -1.9922 -1.1502 24.7565
Br 0.0000 -2.2035 21.4727
Br -1.9083 1.1018 21.4727
Br 1.9083 -1.1018 18.0792
Br 0.0000 2.2035 18.0792
Br 1.9922 1.1502 14.7954
Br 1.9922 -1.1502 24.7565
Br 0.0000 2.3004 24.7565
Br 1.9083 1.1018 21.4727
```

Output
The energy relative to the elements, uncorrected comes out at -1.823 eV/atom. The symmetry is No. 166.

***

Entry 2:
Computed, not measured: a relaxed AlCuOs2 crystal at the PBE level of DFT.

The structure in extended XYZ format:
```
4
Lattice="2.8532 0.0000 0.0000 0.0000 4.3329 0.0000 0.0000 0.0000 4.5166" Properties=species:S:1:pos:R:3 pbc="T T T"
Al 0.0000 0.0000 0.0000
Cu 1.4266 0.0000 2.2583
Os 0.0000 2.1664 2.2583
Os 1.4266 2.1664 0.0000
```

Output
The calculation puts the formation energy at 0.133 eV/atom. The symmetry is No. 47.

***

Entry 3:
Computed, not measured: a relaxed TlFe2Sn2 crystal at the PBE level of DFT.

The structure in extended XYZ format:
```
10
Lattice="8.3178 0.0000 0.0000 0.0000 8.3178 0.0000 0.0000 0.0000 2.9252" Properties=species:S:1:pos:R:3 pbc="T T T"
Tl 0.0000 0.0000 0.0000
Tl 4.1589 4.1589 0.0000
Fe 1.2296 2.9292 1.4626
Fe 2.9292 7.0881 1.4626
Fe 5.3885 1.2296 1.4626
Fe 7.0881 5.3885 1.4626
Sn 1.1868 5.3456 0.0000
Sn 2.9721 1.1868 0.0000
Sn 5.3456 7.1310 0.0000
Sn 7.1310 2.9721 0.0000
```

Output
The calculation puts the formation energy at 0.432 eV/atom. The symmetry is No. 127. As for the energy relative to the lowest polymorph listed for this composition: 0.210 eV/atom.

***

Entry 4:
Computed, not measured: a relaxed PrSmCu2 crystal at the PBE level of DFT.

The structure in extended XYZ format:
```
4
Lattice="3.9304 0.0000 0.0000 0.0000 4.5357 0.0000 -1.8727 0.0000 5.2959" Properties=species:S:1:pos:R:3 pbc="T T T"
Pr 0.0000 0.0000 0.0000
Sm 0.0513 2.2679 3.0091
Cu 1.9958 2.2679 0.8352
Cu 1.9844 0.0000 2.2237
```

Output
The calculation puts the formation energy at -0.180 eV/atom. The symmetry is No. 6. As for the energy relative to the lowest polymorph listed for this composition: 0.000 eV/atom.

***

N(E_F) readings, ordered: 0.0 3.9 12.4 3.1 states/eV/cell